[1]
# GeH

GeH after structural relaxation (GGA-PBE, the Alexandria database).

a = 2.742 Å, b = 4.748 Å, c = 4.870 Å
α = 90.00°, β = 90.00°, γ = 105.25°
Atoms (fractional coordinates):
1 H 0.194 0.425 0.250
2 H 0.806 0.575 0.750
3 Ge 0.039 0.084 0.250
4 Ge 0.961 0.916 0.750

crystal system: monoclinic
total magnetic moment: 0.0 μB/cell
total energy: -14.8 eV per cell
space-group type: P2_1/m


[2]
# Th4Bi2Au

Th4Bi2Au after structural relaxation (GGA-PBE, the Alexandria database).

a = 4.224 Å, b = 7.525 Å, c = 8.521 Å
α = 115.64°, β = 104.35°, γ = 90.00°
Atoms (fractional coordinates):
1 Th 0.898 0.249 0.795
2 Th 0.102 0.751 0.205
3 Th 0.609 0.306 0.218
4 Th 0.391 0.694 0.782
5 Bi 0.757 0.768 0.513
6 Bi 0.243 0.232 0.487
7 Au 0.000 0.000 0.000

crystal system: monoclinic
total magnetic moment: 0.0 μB/cell
total energy: -42.7 eV per cell
space-group type: C2/m


[3]
# PuInAgPd

PuInAgPd after structural relaxation (GGA-PBE, the Alexandria database).

a = 4.947 Å, b = 4.947 Å, c = 4.947 Å
α = 60.00°, β = 60.00°, γ = 60.00°
Atoms (fractional coordinates):
1 In 0.500 0.500 0.500
2 Pd 0.250 0.250 0.250
3 Ag 0.750 0.750 0.750
4 Pu 0.000 0.000 0.000

crystal system: cubic
total magnetic moment: 5.5 μB/cell
total energy: -26.0 eV per cell
space-group type: F-43m